[1]
# RbNbFeSe3 | OQMD via LeMat-Bulk | PBE | relaxed
data_RbNbFeSe3
_chemical_formula_sum 'Rb2 Nb2 Fe2 Se6'
_space_group_name_H-M_alt 'P 1'
_space_group_IT_number 1
_cell_length_a 8.8883
_cell_length_b 3.6639
_cell_length_c 9.9157
_cell_angle_alpha 90.00
_cell_angle_beta 114.90
_cell_angle_gamma 90.00
loop_
_space_group_symop_operation_xyz
'x,y,z'
loop_
_atom_site_label
_atom_site_type_symbol
_atom_site_fract_x
_atom_site_fract_y
_atom_site_fract_z
Rb1 Rb 0.0042 0.2500 0.2678
Rb2 Rb 0.9958 0.7500 0.7322
Nb1 Nb 0.4715 0.2500 0.1803
Nb2 Nb 0.5285 0.7500 0.8197
Fe1 Fe 0.4796 0.7500 0.3963
Fe2 Fe 0.5204 0.2500 0.6037
Se1 Se 0.2513 0.7500 0.1522
Se2 Se 0.3148 0.7500 0.5450
Se3 Se 0.3402 0.2500 0.8755
Se4 Se 0.6598 0.7500 0.1245
Se5 Se 0.6852 0.2500 0.4550
Se6 Se 0.7487 0.2500 0.8478
# calculated density: 5.3 Mg/m³
# space-group type: P2_1/m
# polymorph energy (0 for the lowest one): 0 meV per atom

=====

[2]
# GaTcO3 | OQMD via LeMat-Bulk | PBE | relaxed
data_GaTcO3
_chemical_formula_sum 'Ga4 Tc4 O12'
_space_group_name_H-M_alt 'P 1'
_space_group_IT_number 1
_cell_length_a 5.2136
_cell_length_b 7.6479
_cell_length_c 5.1841
_cell_angle_alpha 90.00
_cell_angle_beta 90.00
_cell_angle_gamma 90.00
loop_
_space_group_symop_operation_xyz
'x,y,z'
loop_
_atom_site_label
_atom_site_type_symbol
_atom_site_fract_x
_atom_site_fract_y
_atom_site_fract_z
Ga1 Ga 0.0034 0.2500 0.0268
Ga2 Ga 0.4966 0.7500 0.5268
Ga3 Ga 0.5034 0.2500 0.4732
Ga4 Ga 0.9966 0.7500 0.9732
Tc1 Tc 0.0000 0.0000 0.5000
Tc2 Tc 0.0000 0.5000 0.5000
Tc3 Tc 0.5000 0.0000 0.0000
Tc4 Tc 0.5000 0.5000 0.0000
O1 O 0.1374 0.7500 0.6264
O2 O 0.1649 0.5715 0.1622
O3 O 0.1649 0.9285 0.1622
O4 O 0.3351 0.0715 0.6622
O5 O 0.3351 0.4285 0.6622
O6 O 0.3626 0.2500 0.1264
O7 O 0.6374 0.7500 0.8736
O8 O 0.6649 0.5715 0.3378
O9 O 0.6649 0.9285 0.3378
O10 O 0.8351 0.0715 0.8378
O11 O 0.8351 0.4285 0.8378
O12 O 0.8626 0.2500 0.3736
# calculated density: 6.9 Mg/m³
# space-group type: Pnma
# total energy: -6.8740 eV per atom

=====

[3]
# LiPrSc | OQMD via LeMat-Bulk | PBE | relaxed
data_LiPrSc
_chemical_formula_sum 'Li1 Pr1 Sc1'
_space_group_name_H-M_alt 'P 1'
_space_group_IT_number 1
_cell_length_a 5.0047
_cell_length_b 5.0047
_cell_length_c 5.0047
_cell_angle_alpha 60.00
_cell_angle_beta 60.00
_cell_angle_gamma 60.00
loop_
_space_group_symop_operation_xyz
'x,y,z'
loop_
_atom_site_label
_atom_site_type_symbol
_atom_site_fract_x
_atom_site_fract_y
_atom_site_fract_z
Li1 Li 0.0000 0.0000 0.0000
Pr1 Pr 0.2500 0.2500 0.2500
Sc1 Sc 0.5000 0.5000 0.5000
# calculated density: 3.6 Mg/m³
# space-group type: F-43m
# polymorph energy (0 for the lowest one): 347 meV per atom